Record 1
Entry from the Alexandria database: Pm3Be4Ir2 after structural relaxation (PBE).

Values from the calculation:
Crystal system: monoclinic
Symmetry: C2/m
Energy relative to the elements in eV per atom: -0.425
DOS at the Fermi energy in states/eV per cell: 6.5
Total energy in eV/atom: -5.633

POSCAR file:
```
Pm3Be4Ir2
1.0
5.1457 -2.0224 0.0000
5.1457 2.0224 0.0000
-2.1918 0.0000 7.6888
Pm Be Ir
3 4 2
Direct
0.0000 0.0000 0.0000
0.3772 0.3772 0.6161
0.6228 0.6228 0.3839
0.0983 0.0983 0.6605
0.2606 0.2606 0.9223
0.7394 0.7394 0.0777
0.9017 0.9017 0.3395
0.3214 0.3214 0.2195
0.6786 0.6786 0.7805
```



Record 2
Entry from the Alexandria database: BaBeBr4 after structural relaxation (PBE).

Values from the calculation:
Crystal system: cubic
Symmetry: F-43m
Energy relative to the elements, uncorrected in meV/atom: -95
DOS at the Fermi energy in states/eV per cell: 3.9
Total energy in eV/atom: -2.152
Excess energy over the best structure of this formula in the dataset in meV/atom: 1494

POSCAR file:
```
BaBeBr4
1.0
0.0000 4.6135 4.6135
4.6135 0.0000 4.6135
4.6135 4.6135 0.0000
Ba Be Br
1 1 4
Direct
0.0000 0.0000 0.0000
0.7500 0.7500 0.7500
0.3753 0.3753 0.3753
0.3753 0.3753 0.8740
0.3753 0.8740 0.3753
0.8740 0.3753 0.3753
```



Record 3
Entry from the Alexandria database: La2ZnSi3Pt4 after structural relaxation (PBE).

Values from the calculation:
Crystal system: tetragonal
Symmetry: P-4m2
Energy relative to the elements, uncorrected in meV/atom: -1069
DOS at the Fermi energy in states/eV per cell: 4.3
Total energy in eV/atom: -6.225

POSCAR file:
```
La2ZnSi3Pt4
1.0
4.3322 0.0000 0.0000
0.0000 4.3322 0.0000
0.0000 0.0000 9.9950
La Zn Si Pt
2 1 3 4
Direct
0.0000 0.5000 0.2456
0.5000 0.0000 0.7544
0.5000 0.5000 0.0000
0.0000 0.0000 0.0000
0.0000 0.5000 0.6256
0.5000 0.0000 0.3744
0.0000 0.0000 0.5000
0.0000 0.5000 0.8676
0.5000 0.0000 0.1324
0.5000 0.5000 0.5000
```



Record 4
Entry from the Alexandria database: PrNd3Al4 after structural relaxation (PBE).

Values from the calculation:
Crystal system: tetragonal
Symmetry: P4/mmm
Energy relative to the elements in eV per atom: -0.349
DOS at the Fermi energy in states/eV per cell: 2.4
Total energy in eV/atom: -4.606

POSCAR file:
```
PrNd3Al4
1.0
5.2774 0.0000 0.0000
0.0000 5.2774 0.0000
0.0000 0.0000 7.4915
Pr Nd Al
1 3 4
Direct
0.0000 0.0000 0.0000
0.0000 0.0000 0.5000
0.5000 0.5000 0.0000
0.5000 0.5000 0.5000
0.0000 0.5000 0.2516
0.0000 0.5000 0.7484
0.5000 0.0000 0.2516
0.5000 0.0000 0.7484
```



Record 5
Entry from the Alexandria database: PmPaRu2 after structural relaxation (PBE).

Values from the calculation:
Crystal system: cubic
Symmetry: Fm-3m
Energy relative to the elements in eV per atom: -0.263
DOS at the Fermi energy in states/eV per cell: 4.0
Total energy in eV/atom: -8.463
Excess energy over the best structure of this formula in the dataset in meV/atom: 216

POSCAR file:
```
PmPaRu2
1.0
0.0000 3.4577 3.4577
3.4577 0.0000 3.4577
3.4577 3.4577 0.0000
Pm Pa Ru
1 1 2
Direct
0.0000 0.0000 0.0000
0.5000 0.5000 0.5000
0.2500 0.2500 0.2500
0.7500 0.7500 0.7500
```



Record 6
Entry from the Alexandria database: Pm5Ag after structural relaxation (PBE).

Values from the calculation:
Crystal system: orthorhombic
Symmetry: Cmmm
Energy relative to the elements in eV per atom: 0.020
DOS at the Fermi energy in states/eV per cell: 7.9
Total energy in eV/atom: -4.414

POSCAR file:
```
Pm5Ag
1.0
2.4388 -7.6909 0.0000
2.4388 7.6909 0.0000
0.0000 0.0000 4.9951
Pm Ag
5 1
Direct
0.0000 0.0000 0.0000
0.1624 0.8376 0.5000
0.3316 0.6684 0.0000
0.6684 0.3316 0.0000
0.8376 0.1624 0.5000
0.5000 0.5000 0.5000
```



Record 7
Entry from the Alexandria database: SiMo2 after structural relaxation (PBE).

Values from the calculation:
Crystal system: trigonal
Symmetry: P-3m1
Energy relative to the elements, uncorrected in meV/atom: 91
DOS at the Fermi energy in states/eV per cell: 1.4
Total energy in eV/atom: -8.937
Excess energy over the best structure of this formula in the dataset in meV/atom: 418

POSCAR file:
```
SiMo2
1.0
2.9019 0.0000 0.0000
-1.4509 2.5131 0.0000
0.0000 0.0000 6.2273
Si Mo
1 2
Direct
0.0000 0.0000 0.0000
0.3333 0.6667 0.3258
0.6667 0.3333 0.6742
```



Record 8
Entry from the Alexandria database: K2ScCd after structural relaxation (PBE).

Values from the calculation:
Crystal system: orthorhombic
Symmetry: Pmmm
Energy relative to the elements in eV per atom: 0.442
DOS at the Fermi energy in states/eV per cell: 4.3
Total energy in eV/atom: -1.918

POSCAR file:
```
K2ScCd
1.0
3.5825 0.0000 0.0000
0.0000 5.9990 0.0000
0.0000 0.0000 6.8974
K Sc Cd
2 1 1
Direct
0.0000 0.0000 0.2407
0.0000 0.0000 0.7593
0.5000 0.5000 0.5000
0.5000 0.5000 0.0000
```



> Number 6 is which compound?

Pm5Ag



> What is the DOS at the Fermi energy in the seventh record?

1.4 states/eV per cell